Entry from the Alexandria database: a relaxed CsCoSe3 crystal (GGA-PBEsol).

```
CsCoSe3
1.0
5.6249 0.0000 0.0000
0.0000 5.6249 0.0000
0.0000 0.0000 5.6249
Cs Co Se
1 1 3
direct
0.0000 0.0000 0.0000 Cs
0.5000 0.5000 0.5000 Co
0.0000 0.0000 0.5000 Se
0.0000 0.5000 0.0000 Se
0.5000 0.0000 0.0000 Se
```

Properties
Total energy (eV per atom): -2.249
ρ (g/cm³): 4.00
Density of states at the Fermi level (states/eV per cell): 8.06

***

Entry from the Alexandria database: a relaxed TaMo2Ir crystal (GGA-PBEsol).

```
TaMo2Ir
1.0
-1.6623 2.1338 4.3920
1.6623 -2.1338 4.3920
1.6623 2.1338 -4.3920
Ta Mo Ir
1 2 1
direct
0.0000 0.0000 0.0000 Ta
0.2422 0.7422 0.5000 Mo
0.7578 0.2578 0.5000 Mo
0.5000 0.5000 0.0000 Ir
```

Properties
Formation energy from the elements (eV per formula unit): -0.49
Total energy (eV per atom): -11.600
ρ (g/cm³): 15.06
ΔE to the lowest computed polymorph (meV/atom): 0
Density of states at the Fermi level (states/eV per cell): 3.43

***

Entry from the Alexandria database: a relaxed LiB5H2O9 crystal (GGA-PBEsol).

```
LiB5H2O9
1.0
5.4428 0.0000 0.0000
0.0000 9.0684 0.0000
-0.3483 0.0000 13.6257
Li B H O
4 20 8 36
direct
0.0325 0.0904 0.1977 Li
0.0325 0.4096 0.6977 Li
0.9675 0.5904 0.3023 Li
0.9675 0.9096 0.8023 Li
0.0155 0.1689 0.3987 B
0.0155 0.3311 0.8987 B
0.2259 0.1375 0.9905 B
0.2259 0.3625 0.4905 B
0.2693 0.0368 0.6564 B
0.2693 0.4632 0.1564 B
0.3209 0.1746 0.8132 B
0.3209 0.3254 0.3132 B
0.3924 0.7008 0.8212 B
0.3924 0.7992 0.3212 B
0.6076 0.2008 0.6788 B
0.6076 0.2992 0.1788 B
0.6791 0.6746 0.6868 B
0.6791 0.8254 0.1868 B
0.7307 0.5368 0.8436 B
0.7307 0.9632 0.3436 B
0.7741 0.6375 0.5095 B
0.7741 0.8625 0.0095 B
0.9845 0.6689 0.1013 B
0.9845 0.8311 0.6013 B
0.1398 0.7433 0.9256 H
0.1398 0.7567 0.4256 H
0.3947 0.5058 0.5821 H
0.3947 0.9942 0.0821 H
0.6053 0.0058 0.9179 H
0.6053 0.4942 0.4179 H
0.8602 0.2433 0.5744 H
0.8602 0.2567 0.0744 H
0.0410 0.2426 0.9821 O
0.0410 0.2574 0.4821 O
0.1503 0.5582 0.0934 O
0.1503 0.9418 0.5934 O
0.1523 0.1964 0.3188 O
0.1523 0.3036 0.8188 O
0.1884 0.7326 0.3571 O
0.1884 0.7674 0.8571 O
0.1982 0.0598 0.7510 O
0.1982 0.4402 0.2510 O
0.2500 0.0656 0.0788 O
0.2500 0.4344 0.5788 O
0.3691 0.1094 0.9120 O
0.3691 0.3906 0.4120 O
0.4484 0.7226 0.7257 O
0.4484 0.7774 0.2257 O
0.4652 0.1114 0.6178 O
0.4652 0.3886 0.1178 O
0.5348 0.6114 0.8822 O
0.5348 0.8886 0.3822 O
0.5516 0.2226 0.7743 O
0.5516 0.2774 0.2743 O
0.6309 0.6094 0.5880 O
0.6309 0.8906 0.0880 O
0.7500 0.5656 0.4212 O
0.7500 0.9344 0.9212 O
0.8018 0.5598 0.7490 O
0.8018 0.9402 0.2490 O
0.8116 0.2326 0.1429 O
0.8116 0.2674 0.6429 O
0.8477 0.6964 0.1812 O
0.8477 0.8036 0.6812 O
0.8497 0.0582 0.4066 O
0.8497 0.4418 0.9066 O
0.9590 0.7426 0.5179 O
0.9590 0.7574 0.0179 O
```

Properties
Total energy (eV per atom): -7.561
ρ (g/cm³): 2.04
Density of states at the Fermi level (states/eV per cell): 0.00

***

Entry from the Alexandria database: a relaxed TaAlCu crystal (GGA-PBEsol).

```
TaAlCu
1.0
0.0000 2.0236 5.2991
2.0194 0.0000 5.2991
2.0194 2.0236 0.0000
Ta Al Cu
1 1 1
direct
0.0000 0.0000 0.0000 Ta
0.6858 0.6858 0.3142 Al
0.3266 0.3266 0.6734 Cu
```

Properties
Formation energy from the elements (eV per formula unit): -0.55
Total energy (eV per atom): -7.175
ρ (g/cm³): 10.41
Density of states at the Fermi level (states/eV per cell): 1.24

***

Entry from the Alexandria database: a relaxed KRhSe2 crystal (GGA-PBEsol).

```
KRhSe2
1.0
-1.7919 3.0778 4.3841
1.7919 -3.0778 4.3841
1.7919 3.0778 -4.3841
K Rh Se
1 1 2
direct
0.0000 0.0000 0.0000 K
0.5000 0.5000 0.0000 Rh
0.3184 0.8184 0.5000 Se
0.6816 0.1816 0.5000 Se
```

Properties
Total energy (eV per atom): -4.672
ρ (g/cm³): 5.15
Density of states at the Fermi level (states/eV per cell): 2.83

***

Entry from the Alexandria database: a relaxed La2WAu crystal (GGA-PBEsol).

```
La2WAu
1.0
3.6815 -3.6772 0.0000
3.6815 3.6772 0.0000
-0.2255 0.0000 3.5336
La W Au
2 1 1
direct
0.0000 0.5000 0.0000 La
0.5000 0.0000 0.0000 La
0.0000 0.0000 0.5000 W
0.5000 0.5000 0.5000 Au
```

Properties
Formation energy from the elements (eV per formula unit): 0.86
Total energy (eV per atom): -6.891
ρ (g/cm³): 11.43
ΔE to the lowest computed polymorph (meV/atom): 0
Density of states at the Fermi level (states/eV per cell): 5.75

***

Entry from the Alexandria database: a relaxed CdOs crystal (GGA-PBEsol).

```
CdOs
1.0
1.4307 -2.3564 0.0000
1.4307 2.3564 0.0000
0.0000 0.0000 4.8089
Cd Os
1 1
direct
0.0000 0.0000 0.0000 Cd
0.5000 0.5000 0.5000 Os
```

Properties
Formation energy from the elements (eV per formula unit): 1.44
Total energy (eV per atom): -5.987
ρ (g/cm³): 15.50
Density of states at the Fermi level (states/eV per cell): 1.96

***

Entry from the Alexandria database: a relaxed BeAs4P crystal (GGA-PBEsol).

```
BeAs4P
1.0
0.0000 3.8034 3.8034
3.8034 0.0000 3.8034
3.8034 3.8034 0.0000
Be As P
1 4 1
direct
0.0000 0.0000 0.0000 Be
0.3748 0.3748 0.3748 As
0.3748 0.3748 0.8755 As
0.3748 0.8755 0.3748 As
0.8755 0.3748 0.3748 As
0.7500 0.7500 0.7500 P
```

Properties
Formation energy from the elements (eV per formula unit): 5.27
Total energy (eV per atom): -4.158
ρ (g/cm³): 5.13
Density of states at the Fermi level (states/eV per cell): 4.45

***

Entry from the Alexandria database: a relaxed KNi3Au crystal (GGA-PBEsol).

```
KNi3Au
1.0
4.7392 0.0000 0.0000
0.0000 4.7392 0.0000
0.0000 0.0000 4.7392
K Ni Au
1 3 1
direct
0.0000 0.0000 0.0000 K
0.0000 0.5000 0.5000 Ni
0.5000 0.0000 0.5000 Ni
0.5000 0.5000 0.0000 Ni
0.5000 0.5000 0.5000 Au
```

Properties
Formation energy from the elements (eV per formula unit): 5.36
Total energy (eV per atom): -3.633
ρ (g/cm³): 6.43
ΔE to the lowest computed polymorph (meV/atom): 0
Density of states at the Fermi level (states/eV per cell): 14.83

***

Entry from the Alexandria database: a relaxed YAg2Mo crystal (GGA-PBEsol).

```
YAg2Mo
1.0
2.9435 0.0000 0.0000
0.0000 4.1998 0.0000
0.0000 0.0000 5.9578
Y Ag Mo
1 2 1
direct
0.0000 0.0000 0.0000 Y
0.5000 0.5000 0.2722 Ag
0.5000 0.5000 0.7278 Ag
0.0000 0.0000 0.5000 Mo
```

Properties
Formation energy from the elements (eV per formula unit): 1.32
Total energy (eV per atom): -5.972
ρ (g/cm³): 9.03
ΔE to the lowest computed polymorph (meV/atom): 11
Density of states at the Fermi level (states/eV per cell): 4.54

***

Entry from the Alexandria database: a relaxed ZnAg2Au crystal (GGA-PBEsol).

```
ZnAg2Au
1.0
1.4325 0.8271 9.0115
-1.4325 0.8271 9.0115
0.0000 -1.6541 9.0115
Zn Ag Au
1 2 1
direct
0.0000 0.0000 0.0000 Zn
0.2543 0.2543 0.2543 Ag
0.7457 0.7457 0.7457 Ag
0.5000 0.5000 0.5000 Au
```

Properties
Formation energy from the elements (eV per formula unit): -0.20
Total energy (eV per atom): -3.083
ρ (g/cm³): 12.39
Density of states at the Fermi level (states/eV per cell): 0.75

***

Entry from the Alexandria database: a relaxed Hf2ScPt2 crystal (GGA-PBEsol).

```
Hf2ScPt2
1.0
7.5283 0.0000 0.0000
0.0000 7.5283 0.0000
0.0000 0.0000 3.3404
Hf Sc Pt
4 2 4
direct
0.1664 0.3336 0.0000 Hf
0.3336 0.8336 0.0000 Hf
0.6664 0.1664 0.0000 Hf
0.8336 0.6664 0.0000 Hf
0.0000 0.0000 0.5000 Sc
0.5000 0.5000 0.5000 Sc
0.1327 0.6327 0.5000 Pt
0.3673 0.1327 0.5000 Pt
0.6327 0.8673 0.5000 Pt
0.8673 0.3673 0.5000 Pt
```

Properties
Formation energy from the elements (eV per formula unit): -4.63
Total energy (eV per atom): -9.234
ρ (g/cm³): 13.90
Density of states at the Fermi level (states/eV per cell): 7.83

***

Entry from the Alexandria database: a relaxed K2LaW crystal (GGA-PBEsol).

```
K2LaW
1.0
3.4135 0.0000 0.0000
0.0000 5.0698 0.0000
0.0000 0.0000 6.7198
K La W
2 1 1
direct
0.0000 0.0000 0.0000 K
0.5000 0.5000 0.0000 K
0.0000 0.5000 0.5000 La
0.5000 0.0000 0.5000 W
```

Properties
Formation energy from the elements (eV per formula unit): 5.20
Total energy (eV per atom): -4.055
ρ (g/cm³): 5.73
ΔE to the lowest computed polymorph (meV/atom): 0
Density of states at the Fermi level (states/eV per cell): 3.83

***

Entry from the Alexandria database: a relaxed WS2O9 crystal (GGA-PBEsol).

```
WS2O9
1.0
7.7076 0.0000 0.0000
0.0000 12.2382 0.0000
-5.2750 0.0000 7.5408
W S O
4 8 36
direct
0.1674 0.1474 0.2358 W
0.1674 0.3526 0.7358 W
0.8326 0.6474 0.2642 W
0.8326 0.8526 0.7642 W
0.0366 0.6816 0.1037 S
0.0366 0.8184 0.6037 S
0.3047 0.5261 0.6384 S
0.3047 0.9739 0.1384 S
0.6953 0.0261 0.8616 S
0.6953 0.4739 0.3616 S
0.9634 0.1816 0.3963 S
0.9634 0.3184 0.8963 S
0.0155 0.7466 0.7289 O
0.0155 0.7534 0.2289 O
0.0692 0.0798 0.3836 O
0.0692 0.4202 0.8836 O
0.1188 0.2228 0.5829 O
0.1188 0.2772 0.0829 O
0.1453 0.5950 0.4896 O
0.1453 0.9050 0.9896 O
0.2421 0.5146 0.7705 O
0.2421 0.9854 0.2705 O
0.2443 0.6678 0.1498 O
0.2443 0.8322 0.6498 O
0.2615 0.0948 0.0794 O
0.2615 0.4052 0.5794 O
0.4042 0.1938 0.4093 O
0.4042 0.3062 0.9093 O
0.4839 0.0604 0.7834 O
0.4839 0.4396 0.2834 O
0.5161 0.5604 0.7166 O
0.5161 0.9396 0.2166 O
0.5958 0.6938 0.0907 O
0.5958 0.8062 0.5907 O
0.7385 0.5948 0.4206 O
0.7385 0.9052 0.9206 O
0.7557 0.1678 0.3502 O
0.7557 0.3322 0.8502 O
0.7579 0.0146 0.7295 O
0.7579 0.4854 0.2295 O
0.8547 0.0950 0.0104 O
0.8547 0.4050 0.5104 O
0.8812 0.7228 0.9171 O
0.8812 0.7772 0.4171 O
0.9308 0.5798 0.1164 O
0.9308 0.9202 0.6164 O
0.9845 0.2466 0.7711 O
0.9845 0.2534 0.2711 O
```

Properties
Total energy (eV per atom): -7.300
ρ (g/cm³): 3.66
Density of states at the Fermi level (states/eV per cell): 0.00

***

Entry from the Alexandria database: a relaxed KCuW2 crystal (GGA-PBEsol).

```
KCuW2
1.0
3.2186 0.0000 0.0000
0.0000 3.2186 0.0000
0.0000 0.0000 8.0787
K Cu W
1 1 2
direct
0.0000 0.0000 0.0000 K
0.0000 0.0000 0.5000 Cu
0.5000 0.5000 0.3554 W
0.5000 0.5000 0.6446 W
```

Properties
Formation energy from the elements (eV per formula unit): 5.28
Total energy (eV per atom): -6.952
ρ (g/cm³): 9.33
ΔE to the lowest computed polymorph (meV/atom): 254
Density of states at the Fermi level (states/eV per cell): 4.20

***

Entry from the Alexandria database: a relaxed BaSr2Cu crystal (GGA-PBEsol).

```
BaSr2Cu
1.0
2.1721 1.2541 10.6429
-2.1721 1.2541 10.6429
0.0000 -2.5081 10.6429
Ba Sr Cu
1 2 1
direct
0.0000 0.0000 0.0000 Ba
0.2199 0.2199 0.2199 Sr
0.7801 0.7801 0.7801 Sr
0.5000 0.5000 0.5000 Cu
```

Properties
Formation energy from the elements (eV per formula unit): 0.31
Total energy (eV per atom): -2.464
ρ (g/cm³): 3.59
ΔE to the lowest computed polymorph (meV/atom): 16
Density of states at the Fermi level (states/eV per cell): 4.41

***

Entry from the Alexandria database: a relaxed Mg3C2 crystal (GGA-PBEsol).

```
Mg3C2
1.0
0.0000 4.4493 4.0027
3.8800 0.0000 4.0027
3.8800 4.4493 0.0000
Mg C
6 4
direct
0.0000 0.0000 0.0000 Mg
0.0187 0.6258 0.7932 Mg
0.2500 0.2500 0.2500 Mg
0.4568 0.6876 0.2313 Mg
0.6258 0.0187 0.5624 Mg
0.6876 0.4568 0.6242 Mg
0.0309 0.6561 0.3951 C
0.3320 0.8549 0.5939 C
0.6561 0.0309 0.9180 C
0.8549 0.3320 0.2191 C
```

Properties
Formation energy from the elements (eV per formula unit): 3.64
Total energy (eV per atom): -4.160
ρ (g/cm³): 2.33
Density of states at the Fermi level (states/eV per cell): 5.95

***

Entry from the Alexandria database: a relaxed BeAl2As crystal (GGA-PBEsol).

```
BeAl2As
1.0
-1.7096 1.8311 5.0321
1.7096 -1.8311 5.0321
1.7096 1.8311 -5.0321
Be Al As
1 2 1
direct
0.0000 0.0000 0.0000 Be
0.2240 0.7240 0.5000 Al
0.5272 0.5272 0.0000 Al
0.8368 0.3368 0.5000 As
```

Properties
Formation energy from the elements (eV per formula unit): 0.69
Total energy (eV per atom): -4.151
ρ (g/cm³): 3.63
ΔE to the lowest computed polymorph (meV/atom): 0
Density of states at the Fermi level (states/eV per cell): 1.13

***

Entry from the Alexandria database: a relaxed Sc2Mn2Ir crystal (GGA-PBEsol).

```
Sc2Mn2Ir
1.0
-1.5582 1.5582 8.0009
1.5582 -1.5582 8.0009
1.5582 1.5582 -8.0009
Sc Mn Ir
2 2 1
direct
0.1038 0.1038 0.0000 Sc
0.8962 0.8962 0.0000 Sc
0.2500 0.7500 0.5000 Mn
0.7500 0.2500 0.5000 Mn
0.5000 0.5000 0.0000 Ir
```

Properties
Formation energy from the elements (eV per formula unit): -0.73
Total energy (eV per atom): -8.657
ρ (g/cm³): 8.38
Density of states at the Fermi level (states/eV per cell): 3.59

***

Entry from the Alexandria database: a relaxed AgAu crystal (GGA-PBEsol).

```
AgAu
1.0
2.8510 0.0000 0.0000
0.0000 2.8510 0.0000
0.0000 0.0000 8.2181
Ag Au
2 2
direct
0.2500 0.2500 0.1237 Ag
0.7500 0.7500 0.8763 Ag
0.2500 0.2500 0.6275 Au
0.7500 0.7500 0.3725 Au
```

Properties
Formation energy from the elements (eV per formula unit): -0.06
Total energy (eV per atom): -3.647
ρ (g/cm³): 15.16
Density of states at the Fermi level (states/eV per cell): 1.38

***

Entry from the Alexandria database: a relaxed TlSiSe crystal (GGA-PBEsol).

```
TlSiSe
1.0
0.0000 3.4188 3.4188
3.4188 0.0000 3.4188
3.4188 3.4188 0.0000
Tl Si Se
1 1 1
direct
0.0000 0.0000 0.0000 Tl
0.5000 0.5000 0.5000 Si
0.7500 0.7500 0.7500 Se
```

Properties
Total energy (eV per atom): -3.544
ρ (g/cm³): 6.47
ΔE to the lowest computed polymorph (meV/atom): 546
Density of states at the Fermi level (states/eV per cell): 2.54

***

Entry from the Alexandria database: a relaxed Ta3Co crystal (GGA-PBEsol).

```
Ta3Co
1.0
4.4316 2.5586 0.9276
-4.4316 2.5586 0.9276
0.0000 -5.1172 0.9276
Ta Co
3 1
direct
0.0000 0.5000 0.5000 Ta
0.5000 0.0000 0.5000 Ta
0.5000 0.5000 0.0000 Ta
0.0000 0.0000 0.0000 Co
```

Properties
Formation energy from the elements (eV per formula unit): 0.19
Total energy (eV per atom): -11.299
ρ (g/cm³): 15.83
Density of states at the Fermi level (states/eV per cell): 3.33